No. 1
DFT (GGA-PBEsol) results for a geometry-optimized Cd3Pt5 structure.

Geometry as POSCAR:
```
Cd3Pt5
1.0
-2.288 -3.030 -1.466
4.644 -2.602 -1.867
0.340 -2.657 4.964
Cd Pt
3 5
direct
0.500 0.243 0.757
0.000 0.500 0.500
0.500 0.757 0.243
0.500 0.251 0.251
0.500 0.749 0.749
0.000 0.500 0.000
0.000 0.000 0.000
0.000 0.000 0.500
```

* crystal system: orthorhombic
* ΔH_f (0 K): -0.23 eV/atom
* total energy: -0.1850 Ha/atom


No. 2
DFT (GGA-PBEsol) results for a geometry-optimized Cd2Pt structure.

Geometry as POSCAR:
```
Cd2Pt
1.0
2.982 0.000 0.000
0.000 2.982 0.000
-1.491 -1.491 6.059
Cd Pt
2 1
direct
0.655 0.655 0.311
0.345 0.345 0.689
0.000 0.000 0.000
```

* crystal system: tetragonal
* ΔH_f (0 K): -0.19 eV/atom
* total energy: -0.1215 Ha/atom


No. 3
DFT (GGA-PBEsol) results for a geometry-optimized CdPt3 structure.

Geometry as POSCAR:
```
CdPt3
1.0
-0.968 -0.095 2.605
-3.816 -2.431 -1.507
2.358 -4.127 0.683
Pt Cd
3 1
direct
0.500 0.000 0.500
0.737 0.500 0.255
0.263 0.500 0.745
0.000 0.000 0.000
```

* crystal system: monoclinic
* ΔH_f (0 K): -0.10 eV/atom
* total energy: -0.2065 Ha/atom


No. 4
DFT (GGA-PBEsol) results for a geometry-optimized CdPt3 structure.

Geometry as POSCAR:
```
CdPt3
1.0
4.861 0.000 0.000
0.000 5.584 0.000
0.000 0.000 9.278
Pt Cd
12 4
direct
0.905 0.621 0.250
0.095 0.379 0.750
0.742 0.872 0.498
0.242 0.628 0.002
0.758 0.372 0.502
0.405 0.879 0.250
0.758 0.372 0.998
0.258 0.128 0.502
0.742 0.872 0.002
0.595 0.121 0.750
0.258 0.128 0.998
0.242 0.628 0.498
0.087 0.883 0.750
0.913 0.117 0.250
0.587 0.617 0.750
0.413 0.383 0.250
```

* crystal system: orthorhombic
* ΔH_f (0 K): -0.16 eV/atom
* total energy: -0.2087 Ha/atom


No. 5
DFT (GGA-PBEsol) results for a geometry-optimized Cd2Pt structure.

Geometry as POSCAR:
```
Cd2Pt
1.0
4.781 0.000 0.000
0.000 5.049 0.006
0.000 2.526 4.372
Pt Cd
2 4
direct
0.250 0.824 0.176
0.750 0.176 0.824
0.750 0.843 0.480
0.250 0.480 0.843
0.250 0.157 0.520
0.750 0.520 0.157
```

* crystal system: orthorhombic
* ΔH_f (0 K): -0.22 eV/atom
* total energy: -0.1227 Ha/atom


No. 6
DFT (GGA-PBEsol) results for a geometry-optimized Cd2Pt3 structure.

Geometry as POSCAR:
```
Cd2Pt3
1.0
5.014 0.000 0.000
2.507 4.834 0.000
-2.507 0.000 6.834
Cd Pt
4 6
direct
0.544 0.560 0.900
0.894 0.060 0.600
0.354 0.940 0.400
0.204 0.440 0.100
0.737 0.916 0.198
0.310 0.500 0.500
0.456 0.084 0.802
0.060 0.000 0.000
0.904 0.584 0.698
0.789 0.416 0.302
```

* crystal system: orthorhombic
* ΔH_f (0 K): -0.15 eV/atom
* total energy: -0.1767 Ha/atom


No. 7
DFT (GGA-PBEsol) results for a geometry-optimized CdPt2 structure.

Geometry as POSCAR:
```
CdPt2
1.0
5.138 -0.032 0.000
-2.440 4.522 0.000
-1.349 -2.245 4.420
Pt Cd
4 2
direct
0.855 0.645 0.500
0.645 0.145 0.789
0.355 0.855 0.211
0.145 0.355 0.500
0.750 0.750 0.000
0.250 0.250 0.000
```

* crystal system: tetragonal
* ΔH_f (0 K): 0.26 eV/atom
* total energy: -0.1758 Ha/atom


No. 8
DFT (GGA-PBEsol) results for a geometry-optimized CdPt2 structure.

Geometry as POSCAR:
```
CdPt2
1.0
2.818 0.000 0.000
0.000 4.502 0.000
0.000 -2.251 3.899
Pt Cd
2 1
direct
0.000 0.333 0.667
0.000 0.667 0.333
0.500 0.000 0.000
```

* crystal system: hexagonal
* ΔH_f (0 K): -0.11 eV/atom
* total energy: -0.1893 Ha/atom


- Look up the ΔH_f (0 K) of the sixth one.
  -0.15 eV/atom